1.
Compound: Mn2Mo
Source: the Alexandria database
Functional: GGA-PBEsol
Structure: optimized geometry

- ΔH_f (0 K): -46 meV/atom
- DFT total energy: -10.48 eV per atom
- Total moment: 0.00 μB per formula unit

a b c (Å): 4.6628 4.6628 4.6628
angles (deg): 60.00 60.00 60.00
With the nearest neighbours (Å) after each atom.
Fractional positions:
1 Mn 0.1250 0.6250 0.6250  6 Mn 2.33
2 Mn 0.6250 0.6250 0.6250  6 Mn 2.33
3 Mn 0.6250 0.6250 0.1250  6 Mn 2.33
4 Mn 0.6250 0.1250 0.6250  6 Mn 2.33
5 Mo 0.0000 0.0000 0.0000  12 Mn 2.73, 4 Mo 2.86
6 Mo 0.2500 0.2500 0.2500  12 Mn 2.73, 4 Mo 2.86

***

2.
Compound: MnMoRuN2
Source: the Alexandria database
Functional: GGA-PBEsol
Structure: optimized geometry

- DFT total energy: -8.64 eV per atom
- Total moment: 0.47 μB per formula unit
- E_form (uncorrected): 1.107 eV per atom

a b c (Å): 3.5023 3.5023 5.1134
angles (deg): 90.00 90.00 90.00
With the nearest neighbours (Å) after each atom.
Fractional positions:
1 Ru 0.0000 0.0000 0.5000  4 Mo 2.48, 2 Mn 2.56
2 Mo 0.5000 0.5000 0.5000  4 Ru 2.48
3 Mn 0.0000 0.0000 0.0000  4 N 1.75
4 N 0.0000 0.5000 0.0000  2 Mn 1.75
5 N 0.5000 0.0000 0.0000  2 Mn 1.75

***

3.
Compound: Mn2NbMo
Source: the Alexandria database
Functional: GGA-PBEsol
Structure: optimized geometry

- ΔH_f (0 K): 51 meV/atom
- DFT total energy: -10.48 eV per atom
- Total moment: 0.00 μB per formula unit

a b c (Å): 4.2306 4.2306 4.2306
angles (deg): 60.00 60.00 60.00
With the nearest neighbours (Å) after each atom.
Fractional positions:
1 Mo 0.5000 0.5000 0.5000  8 Mn 2.59
2 Mn 0.2500 0.2500 0.2500  4 Nb 2.59, 4 Mo 2.59
3 Mn 0.7500 0.7500 0.7500  4 Mo 2.59, 4 Nb 2.59
4 Nb 0.0000 0.0000 0.0000  8 Mn 2.59

***

4.
Compound: MnNiMo
Source: the Alexandria database
Functional: GGA-PBEsol
Structure: optimized geometry

- ΔH_f (0 K): 266 meV/atom
- DFT total energy: -8.96 eV per atom
- Total moment: 1.91 μB per formula unit

a b c (Å): 2.6024 2.6024 6.3698
angles (deg): 90.00 90.00 120.00
With the nearest neighbours (Å) after each atom.
Fractional positions:
1 Mn 0.0000 0.0000 0.0138  3 Ni 2.47, 6 Mn 2.60, 3 Mo 2.68
2 Mo 0.6667 0.3333 0.6652  6 Mo 2.60, 3 Ni 2.66, 3 Mn 2.68
3 Ni 0.3333 0.6667 0.3211  3 Mn 2.47, 6 Ni 2.60, 3 Mo 2.66

***

5.
Compound: MnNi6Mo
Source: the Alexandria database
Functional: GGA-PBEsol
Structure: optimized geometry

- ΔH_f (0 K): -59 meV/atom
- DFT total energy: -7.37 eV per atom
- Total moment: 5.06 μB per formula unit

a b c (Å): 6.1471 6.1471 10.0392
angles (deg): 90.00 90.00 109.37
With the nearest neighbours (Å) after each atom.
Fractional positions:
1 Mn 0.2499 0.7501 0.5000  12 Ni 2.51-2.53
2 Mn 0.7501 0.2499 0.5000  12 Ni 2.51-2.53
3 Mn 0.0000 0.0000 0.7461  12 Ni 2.47-2.55
4 Mn 0.0000 0.0000 0.2539  12 Ni 2.47-2.55
5 Mo 0.2520 0.7480 0.0000  12 Ni 2.49-2.53
6 Mo 0.7480 0.2520 0.0000  12 Ni 2.49-2.53
7 Mo 0.5000 0.5000 0.7431  12 Ni 2.44-2.58
8 Mo 0.5000 0.5000 0.2569  12 Ni 2.44-2.58
9 Ni 0.2502 0.7498 0.7515  2 Mo 2.49-2.51, 8 Ni 2.50-2.52, 2 Mn 2.51-2.53
10 Ni 0.8743 0.6243 0.8755  3 Mo 2.50-2.55, 8 Ni 2.50-2.51, 1 Mn 2.54
11 Ni 0.1257 0.3757 0.8755  3 Mo 2.50-2.55, 8 Ni 2.50-2.51, 1 Mn 2.54
12 Ni 0.7498 0.2502 0.7515  2 Mo 2.49-2.51, 8 Ni 2.50-2.52, 2 Mn 2.51-2.53
13 Ni 0.3757 0.1257 0.8755  3 Mo 2.50-2.55, 8 Ni 2.50-2.51, 1 Mn 2.54
14 Ni 0.6243 0.8743 0.8755  3 Mo 2.50-2.55, 8 Ni 2.50-2.51, 1 Mn 2.54
15 Ni 0.5000 0.5000 0.5000  2 Mo 2.44, 8 Ni 2.51, 2 Mn 2.51
16 Ni 0.1264 0.3759 0.6254  1 Mo 2.47, 3 Mn 2.49-2.52, 8 Ni 2.50-2.52
17 Ni 0.3759 0.1264 0.6254  1 Mo 2.47, 3 Mn 2.49-2.52, 8 Ni 2.50-2.52
18 Ni 0.2502 0.7498 0.2485  2 Mo 2.49-2.51, 8 Ni 2.50-2.52, 2 Mn 2.51-2.53
19 Ni 0.8736 0.6241 0.3746  1 Mo 2.47, 3 Mn 2.49-2.52, 8 Ni 2.50-2.52
20 Ni 0.1264 0.3759 0.3746  1 Mo 2.47, 3 Mn 2.49-2.52, 8 Ni 2.50-2.52
21 Ni 0.7498 0.2502 0.2485  2 Mo 2.49-2.51, 8 Ni 2.50-2.52, 2 Mn 2.51-2.53
22 Ni 0.3759 0.1264 0.3746  1 Mo 2.47, 3 Mn 2.49-2.52, 8 Ni 2.50-2.52
23 Ni 0.6241 0.8736 0.3746  1 Mo 2.47, 3 Mn 2.49-2.52, 8 Ni 2.50-2.52
24 Ni 0.5000 0.5000 0.0000  4 Mo 2.49-2.58, 8 Ni 2.50
25 Ni 0.1257 0.3757 0.1245  3 Mo 2.50-2.55, 8 Ni 2.50-2.51, 1 Mn 2.54
26 Ni 0.3757 0.1257 0.1245  3 Mo 2.50-2.55, 8 Ni 2.50-2.51, 1 Mn 2.54
27 Ni 0.0000 0.0000 0.5000  4 Mn 2.47-2.51, 8 Ni 2.52
28 Ni 0.6241 0.8736 0.6254  1 Mo 2.47, 3 Mn 2.49-2.52, 8 Ni 2.50-2.52
29 Ni 0.8736 0.6241 0.6254  1 Mo 2.47, 3 Mn 2.49-2.52, 8 Ni 2.50-2.52
30 Ni 0.0000 0.0000 0.0000  8 Ni 2.51, 2 Mo 2.53, 2 Mn 2.55
31 Ni 0.6243 0.8743 0.1245  3 Mo 2.50-2.55, 8 Ni 2.50-2.51, 1 Mn 2.54
32 Ni 0.8743 0.6243 0.1245  3 Mo 2.50-2.55, 8 Ni 2.50-2.51, 1 Mn 2.54

***

6.
Compound: MnNiMo
Source: the Alexandria database
Functional: GGA-PBEsol
Structure: optimized geometry

- ΔH_f (0 K): 678 meV/atom
- DFT total energy: -8.55 eV per atom
- Total moment: 3.87 μB per formula unit

a b c (Å): 3.9573 3.9573 3.9573
angles (deg): 60.00 60.00 60.00
With the nearest neighbours (Å) after each atom.
Fractional positions:
1 Mn 0.0000 0.0000 0.0000  4 Ni 2.42
2 Mo 0.5000 0.5000 0.5000  4 Ni 2.42
3 Ni 0.2500 0.2500 0.2500  4 Mo 2.42, 4 Mn 2.42

***

7.
Compound: Ta2MnNiMo
Source: the Alexandria database
Functional: GGA-PBEsol
Structure: optimized geometry

- ΔH_f (0 K): 1630 meV/atom
- DFT total energy: -8.93 eV per atom
- Total moment: 3.94 μB per formula unit

a b c (Å): 4.4780 4.7208 4.7208
angles (deg): 90.00 90.00 90.00
With the nearest neighbours (Å) after each atom.
Fractional positions:
1 Ni 0.5000 0.0000 0.0000  2 Mo 2.24
2 Mo 0.0000 0.0000 0.0000  2 Ni 2.24, 4 Ta 2.36
3 Mn 0.5000 0.5000 0.5000  8 Ta 3.25, 4 Ni 3.34
4 Ta 0.0000 0.0000 0.5000  2 Mo 2.36
5 Ta 0.0000 0.5000 0.0000  2 Mo 2.36

***

8.
Compound: MnMoPO2
Source: the Alexandria database
Functional: GGA-PBEsol
Structure: optimized geometry

- DFT total energy: -7.90 eV per atom
- Total moment: 3.23 μB per formula unit
- E_form (uncorrected): -0.334 eV per atom

a b c (Å): 3.5221 3.5221 4.9688
angles (deg): 90.00 90.00 90.00
With the nearest neighbours (Å) after each atom.
Fractional positions:
1 P 0.0000 0.0000 0.5000  2 Mn 2.48, 4 Mo 2.49
2 Mo 0.5000 0.5000 0.5000  4 P 2.49
3 Mn 0.0000 0.0000 0.0000  4 O 1.76
4 O 0.0000 0.5000 0.0000  2 Mn 1.76
5 O 0.5000 0.0000 0.0000  2 Mn 1.76

***

9.
Compound: MnTeMoO6
Source: the Alexandria database
Functional: GGA-PBEsol
Structure: optimized geometry

- DFT total energy: -7.82 eV per atom
- Total moment: 5.00 μB per formula unit
- E_form (uncorrected): -1.536 eV per atom

a b c (Å): 5.0777 5.2772 8.8292
angles (deg): 90.00 90.00 90.00
With the nearest neighbours (Å) after each atom.
Fractional positions:
1 Mn 0.5000 0.5000 0.5257  6 O 2.10-2.24
2 Mn 0.0000 0.0000 0.4743  6 O 2.10-2.24
3 Te 0.0000 0.5000 0.2440  4 O 1.92-2.13
4 Te 0.5000 0.0000 0.7560  4 O 1.92-2.13
5 Mo 0.5000 0.0000 0.1888  4 O 1.71-1.86
6 Mo 0.0000 0.5000 0.8112  4 O 1.71-1.86
7 O 0.7191 0.1758 0.6128  1 Te 1.92, 1 Mn 2.10
8 O 0.2191 0.3242 0.3872  1 Te 1.92, 1 Mn 2.10
9 O 0.7809 0.6758 0.3872  1 Te 1.92, 1 Mn 2.10
10 O 0.2809 0.8242 0.6128  1 Te 1.92, 1 Mn 2.10
11 O 0.7569 0.1815 0.2924  1 Mo 1.86
12 O 0.2569 0.3185 0.7076  1 Mo 1.86
13 O 0.2431 0.8185 0.2924  1 Mo 1.86
14 O 0.7431 0.6815 0.7076  1 Mo 1.86
15 O 0.1586 0.7080 0.9290  1 Mo 1.71
16 O 0.6586 0.7920 0.0710  1 Mo 1.71
17 O 0.3414 0.2080 0.0710  1 Mo 1.71
18 O 0.8414 0.2920 0.9290  1 Mo 1.71

***

10.
Compound: MnMoOs2
Source: the Alexandria database
Functional: GGA-PBEsol
Structure: optimized geometry

- ΔH_f (0 K): 137 meV/atom
- DFT total energy: -11.35 eV per atom
- Total moment: 1.03 μB per formula unit

a b c (Å): 2.6959 4.6272 4.6272
angles (deg): 108.97 90.00 90.00
With the nearest neighbours (Å) after each atom.
Fractional positions:
1 Mn 0.5000 0.0000 0.0000  8 Os 2.68, 2 Mo 2.69, 2 Mn 2.70
2 Mo 0.5000 0.5000 0.5000  8 Os 2.68, 2 Mn 2.69, 2 Mo 2.70
3 Os 0.0000 0.5000 0.0000  4 Mn 2.68, 4 Mo 2.68, 4 Os 2.69-2.70
4 Os 0.0000 0.0000 0.5000  4 Mo 2.68, 4 Mn 2.68, 4 Os 2.69-2.70

***

11.
Compound: MnMoOs2
Source: the Alexandria database
Functional: GGA-PBEsol
Structure: optimized geometry

- ΔH_f (0 K): 249 meV/atom
- DFT total energy: -11.24 eV per atom
- Total moment: 1.46 μB per formula unit

a b c (Å): 2.7394 4.3756 5.2786
angles (deg): 114.49 105.04 90.00
With the nearest neighbours (Å) after each atom.
Fractional positions:
1 Mn 0.5000 0.0000 0.0000  4 Os 2.45, 4 Mo 2.58, 2 Mn 2.74
2 Mo 0.0000 0.5000 0.0000  4 Mn 2.58, 2 Mo 2.74
3 Os 0.7792 0.7792 0.5584  2 Mn 2.45, 6 Os 2.64-2.74
4 Os 0.2208 0.2208 0.4416  2 Mn 2.45, 6 Os 2.64-2.74

***

12.
Compound: MnMoOs2
Source: the Alexandria database
Functional: GGA-PBEsol
Structure: optimized geometry

- ΔH_f (0 K): 93 meV/atom
- DFT total energy: -11.40 eV per atom
- Total moment: 1.23 μB per formula unit

a b c (Å): 3.7815 3.7815 4.6543
angles (deg): 113.97 113.97 90.00
With the nearest neighbours (Å) after each atom.
Fractional positions:
1 Mn 0.5000 0.5000 0.0000  8 Os 2.67-2.68, 4 Mo 2.68
2 Mo 0.2500 0.7500 0.5000  8 Os 2.67-2.68, 4 Mn 2.68
3 Os 0.0000 0.0000 0.0000  4 Mn 2.67, 4 Mo 2.68, 4 Os 2.68
4 Os 0.7500 0.2500 0.5000  4 Mo 2.67, 4 Mn 2.68, 4 Os 2.68